1.
A relaxed structure of La3BeSn, computed with PBE-GGA.

Computed properties:
energy relative to the elements	-0.407	eV/f.u.
density of states at the Fermi level	5.47	states/eV/f.u.
ΔE to the lowest computed polymorph	0	meV/atom

abc: 5.4110 5.4110 5.4110
angles: 90.00 90.00 90.00
Last column: nearest neighbours and their distance in Å.
Space group Pm-3m (No. 221)
Unique sites:
La 0.0000 0.0000 0.5000 (multiplicity 3)  2 Be 2.71
Be 0.0000 0.0000 0.0000 (multiplicity 1)  6 La 2.71
Sn 0.5000 0.5000 0.5000 (multiplicity 1)  12 La 3.83

=====

2.
A relaxed structure of LiAu2, computed with PBE-GGA.

Computed properties:
energy relative to the elements	0.012	eV/f.u.
density of states at the Fermi level	1.34	states/eV/f.u.

abc: 5.9390 5.9390 5.9390
angles: 90.00 90.00 90.00
Last column: nearest neighbours and their distance in Å.
Space group Pa-3 (No. 205)
Unique sites:
Li 0.0000 0.0000 0.0000 (multiplicity 4)  6 Au 2.45
Au 0.1336 0.6336 0.8664 (multiplicity 8)  3 Li 2.45